(1)
The following is a DFT calculation (GGA-PBE) of an optimized crystal structure of Pm3Y2Zn2.

The calculation puts the offset from the most stable computed form at 0.0000 eV per atom. For the total energy, the calculation gives -4.418 eV per atom. As for the energy of formation: -0.17 eV/atom.

The structure belongs to space group I4/mmm (No. 139); the cell edges are 3.652, 3.652 and 29.758 Å and the angles 90.00°, 90.00° and 90.00°. Symmetry generates all atoms from Pm at (0.000, 0.000, 0.000), Pm at (0.000, 0.000, 0.121), Y at (0.000, 0.000, 0.291) and Zn at (0.000, 0.000, 0.439).



(2)
The following is a DFT calculation (GGA-PBE) of an optimized crystal structure of Pm2NdDyTl4.

For the total energy, the calculation gives -3.914 eV per atom. As for the energy of formation: -0.37 eV/atom.

The structure belongs to space group R-3m (No. 166, hexagonal axes); the cell edges are 5.4640, 5.4640 and 26.8255 Å and the angles 90.00°, 90.00° and 120.00°. Symmetry generates all atoms from Pm at (0.0000, 0.0000, 0.2494), Nd at (0.0000, 0.0000, 0.0000), Dy at (0.0000, 0.0000, 0.5000), Tl at (0.0000, 0.0000, 0.1262) and Tl at (0.0000, 0.0000, 0.3763).



(3)
The following is a DFT calculation (GGA-PBE) of an optimized crystal structure of Sc3TlH.

The calculation puts the offset from the most stable computed form at 0.0888 eV per atom. For the total energy, the calculation gives -5.227 eV per atom.

The structure belongs to space group C2/m (No. 12); the cell edges are 14.638, 3.359 and 8.119 Å and the angles 90.00°, 96.49° and 90.00°. Symmetry generates all atoms from Sc at (0.039, 0.000, 0.216), Sc at (0.151, 0.500, 0.958), Sc at (0.233, 0.500, 0.321), Tl at (0.098, 0.500, 0.572) and H at (0.222, 0.000, 0.904).



(4)
The following is a DFT calculation (GGA-PBE) of an optimized crystal structure of SrGa4Sn2.

For the total energy, the calculation gives -3.344 eV per atom. As for the energy of formation: -0.23 eV/atom.

The structure belongs to space group P-1 (No. 2); the cell edges are 6.394, 6.474 and 8.746 Å and the angles 89.97°, 68.61° and 89.90°. Symmetry generates all atoms from Sr at (0.245, 0.250, 0.000), Ga at (0.182, 0.751, 0.164), Ga at (0.254, 0.076, 0.334), Ga at (0.347, 0.747, 0.836), Ga at (0.413, 0.578, 0.334), Sn at (0.099, 0.586, 0.644) and Sn at (0.256, 0.085, 0.644).



- Look up the total energy of the second one.
  -3.914 eV per atom



- Among the records above, which one has the lowest total energy?
  Sc3TlH



Copy entry 4 word for word.
The following is a DFT calculation (GGA-PBE) of an optimized crystal structure of SrGa4Sn2.

For the total energy, the calculation gives -3.344 eV per atom. As for the energy of formation: -0.23 eV/atom.

The structure belongs to space group P-1 (No. 2); the cell edges are 6.394, 6.474 and 8.746 Å and the angles 89.97°, 68.61° and 89.90°. Symmetry generates all atoms from Sr at (0.245, 0.250, 0.000), Ga at (0.182, 0.751, 0.164), Ga at (0.254, 0.076, 0.334), Ga at (0.347, 0.747, 0.836), Ga at (0.413, 0.578, 0.334), Sn at (0.099, 0.586, 0.644) and Sn at (0.256, 0.085, 0.644).